Entry 1:
Material: Cd2PbW
Method: DFT, PBE-GGA
State: optimized geometry

Total magnetization, Bohr magnetons per cell: 0.00
DOS(E_F), states/eV/atom: 0.42
Energy, eV per atom: -3.959
ΔH_f (0 K), eV per atom: 0.66
Space group: Pmm2

```
Cd2PbW
1.0
-2.942 4.215 0.567
-2.304 -1.450 -1.177
-1.489 -1.716 5.032
Pb W Cd
1 1 2
Direct
0.000 0.624 0.485
0.500 0.626 0.781
0.000 0.125 0.964
0.500 0.126 0.270
```

Entry 2:
Material: CoSi2P
Method: DFT, PBE-GGA
State: optimized geometry

Total magnetization, Bohr magnetons per cell: 0.00
DOS(E_F), states/eV/atom: 0.45
Polymorph energy (0 for the lowest one), meV/atom: 240
Energy, eV per atom: -5.735
Space group: P4mm
Uncorrected formation energy, meV/atom: 105

```
CoSi2P
1.0
2.770 0.012 0.000
-0.013 2.770 0.000
0.000 0.000 6.738
Co Si P
1 2 1
Direct
0.000 0.000 0.503
0.500 0.500 0.285
0.000 0.000 0.014
0.500 0.500 0.698
```

Entry 3:
Material: MgTiCo2As
Method: DFT, PBE-GGA
State: optimized geometry

Total magnetization, Bohr magnetons per cell: 0.59
DOS(E_F), states/eV/atom: 1.02
Energy, eV per atom: -4.670
ΔH_f (0 K), eV per atom: 1.00
Space group: P4/mmm

```
MgTiCo2As
1.0
4.219 0.000 0.000
0.000 4.219 0.000
0.000 0.000 5.195
Ti Mg Co As
1 1 2 1
Direct
0.000 0.000 0.000
0.000 0.000 0.500
0.500 0.000 0.000
0.000 0.500 0.000
0.500 0.500 0.500
```

Entry 4:
Material: La3TbCo2
Method: DFT, PBE-GGA
State: optimized geometry

Total magnetization, Bohr magnetons per cell: 0.00
DOS(E_F), states/eV/atom: 1.07
Energy, eV per atom: -5.706
ΔH_f (0 K), eV per atom: -0.10
Space group: P-1

```
La3TbCo2
1.0
3.983 -0.003 0.827
1.775 8.350 1.427
-0.088 0.093 10.413
Co La Tb
4 6 2
Direct
0.125 0.624 0.125
0.375 0.875 0.374
0.875 0.376 0.875
0.625 0.125 0.626
0.939 0.927 0.192
0.179 0.190 0.446
0.308 0.323 0.062
0.061 0.073 0.808
0.821 0.810 0.554
0.692 0.677 0.938
0.439 0.428 0.694
0.561 0.572 0.306
```

Entry 5:
Material: Y6Pt5Rh
Method: DFT, PBE-GGA
State: optimized geometry

Total magnetization, Bohr magnetons per cell: 0.00
DOS(E_F), states/eV/atom: 0.51
Energy, eV per atom: -7.507
ΔH_f (0 K), eV per atom: -1.15
Space group: Immm

```
Y6Pt5Rh
1.0
-2.354 3.860 -1.969
-5.869 -6.104 1.223
4.511 2.983 6.630
Pt Rh Y
5 1 6
Direct
0.000 0.669 0.331
0.500 0.163 0.837
0.000 0.331 0.669
0.500 0.837 0.163
0.500 0.500 0.500
0.000 0.000 0.000
0.751 0.917 0.585
0.751 0.585 0.917
0.249 0.083 0.415
0.749 0.249 0.249
0.251 0.751 0.751
0.249 0.415 0.083
```

Entry 6:
Material: BeRhSe2
Method: DFT, PBE-GGA
State: optimized geometry

Total magnetization, Bohr magnetons per cell: 0.00
DOS(E_F), states/eV/atom: 0.82
Energy, eV per atom: -4.806
Space group: I-42d
Uncorrected formation energy, meV/atom: -295

```
BeRhSe2
1.0
5.397 0.000 0.000
0.000 5.397 0.000
2.698 2.698 5.304
Be Rh Se
2 2 4
Direct
0.250 0.750 0.500
0.500 0.500 0.000
0.000 0.000 0.000
0.750 0.250 0.500
0.375 0.407 0.750
0.593 0.125 0.250
0.157 0.625 0.250
0.875 0.843 0.750
```

Entry 7:
Material: BaTl4Pt2
Method: DFT, PBE-GGA
State: optimized geometry

Total magnetization, Bohr magnetons per cell: 0.00
DOS(E_F), states/eV/atom: 0.47
Polymorph energy (0 for the lowest one), meV/atom: 0
Energy, eV per atom: -3.656
ΔH_f (0 K), eV per atom: -0.30
Space group: Pnma

```
BaTl4Pt2
1.0
4.775 0.000 0.000
0.000 7.766 0.000
0.000 0.000 19.659
Tl Ba Pt
16 4 8
Direct
0.750 0.334 0.313
0.750 0.762 0.808
0.750 0.662 0.968
0.250 0.338 0.032
0.750 0.738 0.308
0.250 0.834 0.187
0.250 0.507 0.427
0.750 0.166 0.813
0.750 0.007 0.073
0.250 0.993 0.927
0.250 0.666 0.687
0.750 0.838 0.468
0.250 0.262 0.692
0.250 0.238 0.192
0.750 0.493 0.573
0.250 0.162 0.532
0.250 0.033 0.361
0.750 0.967 0.639
0.750 0.533 0.139
0.250 0.467 0.861
0.750 0.040 0.221
0.250 0.733 0.543
0.250 0.960 0.779
0.250 0.767 0.043
0.750 0.267 0.457
0.750 0.233 0.957
0.750 0.460 0.721
0.250 0.540 0.279
```

Entry 8:
Material: Tb4Pm3Ho
Method: DFT, PBE-GGA
State: optimized geometry

Total magnetization, Bohr magnetons per cell: 0.00
DOS(E_F), states/eV/atom: 1.81
Polymorph energy (0 for the lowest one), meV/atom: 138
Energy, eV per atom: -4.509
ΔH_f (0 K), eV per atom: 0.16
Space group: C2/m

```
Tb4Pm3Ho
1.0
3.458 0.000 -0.436
-0.171 6.635 -1.357
-0.260 -1.047 11.863
Pm Tb Ho
3 4 1
Direct
0.874 0.118 0.749
0.000 0.500 0.000
0.126 0.882 0.251
0.875 0.634 0.751
0.741 0.246 0.481
0.125 0.366 0.249
0.259 0.754 0.519
0.500 0.000 0.000
```

Entry 9:
Material: VHgMo3
Method: DFT, PBE-GGA
State: optimized geometry

Total magnetization, Bohr magnetons per cell: 2.72
DOS(E_F), states/eV/atom: 2.35
Polymorph energy (0 for the lowest one), meV/atom: 1519
Energy, eV per atom: -5.625
ΔH_f (0 K), eV per atom: 2.76
Space group: Pm-3m

```
VHgMo3
1.0
-3.962 -0.597 -2.841
2.878 -1.433 -3.713
-0.377 -4.660 1.505
Mo Hg V
3 1 1
Direct
0.000 0.500 0.000
0.000 0.000 0.500
0.500 0.000 0.000
0.000 0.000 0.000
0.500 0.500 0.500
```

Entry 10:
Material: Hf6Te2C
Method: DFT, PBE-GGA
State: optimized geometry

Total magnetization, Bohr magnetons per cell: 0.00
DOS(E_F), states/eV/atom: 0.48
Energy, eV per atom: -8.750
Space group: P2_1/c
Uncorrected formation energy, meV/atom: -391

```
Hf6Te2C
1.0
-5.562 -0.606 1.834
1.907 -4.912 4.161
1.835 6.244 6.531
Hf Te C
12 4 2
Direct
0.878 0.986 0.261
0.122 0.014 0.739
0.660 0.189 0.530
0.845 0.695 0.531
0.340 0.811 0.470
0.655 0.195 0.969
0.378 0.514 0.761
0.345 0.805 0.031
0.622 0.486 0.239
0.160 0.311 0.030
0.155 0.305 0.469
0.840 0.689 0.970
0.911 0.396 0.753
0.089 0.604 0.247
0.589 0.896 0.747
0.411 0.104 0.253
0.000 0.000 0.500
0.500 0.500 0.000
```

Entry 11:
Material: KLa2Ni
Method: DFT, PBE-GGA
State: optimized geometry

Total magnetization, Bohr magnetons per cell: 0.00
DOS(E_F), states/eV/atom: 0.83
Polymorph energy (0 for the lowest one), meV/atom: 57
Energy, eV per atom: -4.185
ΔH_f (0 K), eV per atom: 0.00
Space group: P2/m

```
KLa2Ni
1.0
-3.055 1.857 -0.548
-1.371 -1.352 3.068
2.645 6.932 8.744
Ni K La
1 1 2
Direct
0.500 0.250 0.250
0.500 0.750 0.750
0.000 0.887 0.099
0.000 0.613 0.401
```

Entry 12:
Material: YMn3I
Method: DFT, PBE-GGA
State: optimized geometry

Total magnetization, Bohr magnetons per cell: 12.70
DOS(E_F), states/eV/atom: 0.85
Polymorph energy (0 for the lowest one), meV/atom: 507
Energy, eV per atom: -5.625
Space group: Pm-3m
Uncorrected formation energy, meV/atom: 1480

```
YMn3I
1.0
-3.880 -2.361 2.960
-0.979 -3.469 -4.050
3.658 -3.433 2.056
Mn Y I
3 1 1
Direct
0.000 0.500 0.000
0.500 0.000 0.000
0.000 0.000 0.500
0.000 0.000 0.000
0.500 0.500 0.500
```

Entry 13:
Material: Pm4NdCu5
Method: DFT, PBE-GGA
State: optimized geometry

Total magnetization, Bohr magnetons per cell: 0.00
DOS(E_F), states/eV/atom: 0.70
Energy, eV per atom: -4.584
ΔH_f (0 K), eV per atom: -0.16
Space group: P4/mmm

```
Pm4NdCu5
1.0
-1.991 -0.631 -2.878
-2.848 -0.477 2.075
-3.815 17.551 -1.206
Cu Pm Nd
5 4 1
Direct
0.500 0.500 0.102
0.500 0.500 0.300
0.500 0.500 0.898
0.500 0.500 0.700
0.500 0.500 0.500
0.000 0.000 0.400
0.000 0.000 0.600
0.000 0.000 0.799
0.000 0.000 0.201
0.000 0.000 0.000
```

Entry 14:
Material: Zr2AgC
Method: DFT, PBE-GGA
State: optimized geometry

Total magnetization, Bohr magnetons per cell: 0.00
DOS(E_F), states/eV/atom: 1.03
Energy, eV per atom: -7.235
ΔH_f (0 K), eV per atom: 0.06
Space group: I-42d

```
Zr2AgC
1.0
6.594 0.000 0.000
0.000 6.594 0.000
3.297 3.297 3.511
Ag Zr C
2 4 2
Direct
0.000 0.000 0.000
0.750 0.250 0.500
0.204 0.625 0.250
0.875 0.796 0.750
0.546 0.125 0.250
0.375 0.454 0.750
0.500 0.500 0.000
0.250 0.750 0.500
```

Entry 15:
Material: Sr3AlGa
Method: DFT, PBE-GGA
State: optimized geometry

Total magnetization, Bohr magnetons per cell: 0.00
DOS(E_F), states/eV/atom: 0.73
Polymorph energy (0 for the lowest one), meV/atom: 85
Energy, eV per atom: -2.468
ΔH_f (0 K), eV per atom: -0.10
Space group: C2/m

```
Sr3AlGa
1.0
8.202 0.242 -0.170
-2.011 7.955 0.170
-3.550 -3.755 5.677
Ga Sr Al
2 6 2
Direct
0.360 0.208 0.568
0.640 0.792 0.432
0.181 0.961 0.751
0.713 0.453 0.166
0.287 0.547 0.834
0.819 0.039 0.249
0.210 0.430 0.249
0.790 0.570 0.751
0.660 0.081 0.741
0.340 0.919 0.259
```

Entry 16:
Material: CaNiN3
Method: DFT, PBE-GGA
State: optimized geometry

Total magnetization, Bohr magnetons per cell: 2.88
DOS(E_F), states/eV/atom: 0.78
Energy, eV per atom: -5.789
Space group: Pm-3m
Uncorrected formation energy, meV/atom: 763

```
CaNiN3
1.0
3.784 0.000 0.000
0.000 3.784 0.000
0.000 0.000 3.784
N Ca Ni
3 1 1
Direct
0.500 0.000 0.000
0.000 0.000 0.500
0.000 0.500 0.000
0.500 0.500 0.500
0.000 0.000 0.000
```

Entry 17:
Material: LiLaInRu
Method: DFT, PBE-GGA
State: optimized geometry

Total magnetization, Bohr magnetons per cell: 0.00
DOS(E_F), states/eV/atom: 0.59
Energy, eV per atom: -4.915
ΔH_f (0 K), eV per atom: -0.20
Space group: F-43m

```
LiLaInRu
1.0
-0.687 -4.604 -1.482
3.228 -2.107 -3.001
2.910 -3.558 1.653
In Li La Ru
1 1 1 1
Direct
0.750 0.750 0.750
0.500 0.500 0.500
0.250 0.250 0.250
0.000 0.000 0.000
```

Entry 18:
Material: Rb3Ce3BeS8
Method: DFT, PBE-GGA
State: optimized geometry

Total magnetization, Bohr magnetons per cell: 1.12
DOS(E_F), states/eV/atom: 0.69
Energy, eV per atom: -5.298
Space group: C2/m
Uncorrected formation energy, meV/atom: -1468

```
Rb3Ce3BeS8
1.0
-4.682 5.219 -3.721
-2.239 -2.755 7.418
6.962 5.894 -0.494
Rb S Ce Be
3 8 3 1
Direct
0.000 0.000 0.000
0.000 0.500 0.000
0.500 0.500 0.000
0.187 0.956 0.655
0.731 0.462 0.698
0.769 0.956 0.655
0.231 0.044 0.345
0.277 0.555 0.721
0.723 0.445 0.279
0.813 0.044 0.345
0.269 0.538 0.302
0.500 0.500 0.500
0.000 0.500 0.500
0.500 0.000 0.500
0.000 0.000 0.500
```

Entry 19:
Material: MgAu3S
Method: DFT, PBE-GGA
State: optimized geometry

Total magnetization, Bohr magnetons per cell: 0.00
DOS(E_F), states/eV/atom: 1.06
Polymorph energy (0 for the lowest one), meV/atom: 469
Energy, eV per atom: -2.302
Space group: Pm-3m
Uncorrected formation energy, meV/atom: 809

```
MgAu3S
1.0
-3.379 1.047 3.396
-3.538 -0.550 -3.350
-0.335 -4.759 1.135
Mg Au S
1 3 1
Direct
0.000 0.000 0.000
0.000 0.500 0.000
0.500 0.000 0.000
0.000 0.000 0.500
0.500 0.500 0.500
```

Entry 20:
Material: MnBe2Zn
Method: DFT, PBE-GGA
State: optimized geometry

Total magnetization, Bohr magnetons per cell: 0.00
DOS(E_F), states/eV/atom: 0.46
Energy, eV per atom: -4.278
ΔH_f (0 K), eV per atom: 0.20
Space group: Immm

```
MnBe2Zn
1.0
-2.750 -2.408 2.840
1.992 -3.352 2.494
-0.243 4.515 -0.990
Be Zn Mn
2 1 1
Direct
0.505 0.505 0.000
0.995 0.995 0.000
0.250 0.750 0.500
0.750 0.250 0.500
```

Entry 21:
Material: AlTl2Cr2S6
Method: DFT, PBE-GGA
State: optimized geometry

Total magnetization, Bohr magnetons per cell: 5.20
DOS(E_F), states/eV/atom: 0.38
Energy, eV per atom: -5.443
Space group: C2/m
Uncorrected formation energy, meV/atom: -671

```
AlTl2Cr2S6
1.0
-2.353 4.748 -3.110
-2.171 -1.433 5.566
6.418 3.342 2.246
S Cr Tl Al
6 2 2 1
Direct
0.060 0.396 0.677
0.277 0.277 0.328
0.940 0.604 0.323
0.604 0.940 0.323
0.723 0.723 0.672
0.396 0.060 0.677
0.329 0.671 0.500
0.671 0.329 0.500
0.836 0.164 0.000
0.164 0.836 0.000
0.000 0.000 0.500
```

Entry 22:
Material: La6Sn3O2
Method: DFT, PBE-GGA
State: optimized geometry

Total magnetization, Bohr magnetons per cell: 0.00
DOS(E_F), states/eV/atom: 0.58
Energy, eV per atom: -6.211
Space group: I4/mmm
Uncorrected formation energy, meV/atom: -1530

```
La6Sn3O2
1.0
-3.428 1.558 3.181
0.603 -4.105 2.661
10.813 7.308 4.255
O Sn La
2 3 6
Direct
0.604 0.604 0.207
0.396 0.396 0.793
0.000 0.000 0.000
0.823 0.823 0.647
0.177 0.177 0.353
0.305 0.305 0.609
0.582 0.082 0.165
0.918 0.418 0.835
0.695 0.695 0.391
0.418 0.918 0.835
0.082 0.582 0.165
```

Entry 23:
Material: Zn2In2Se
Method: DFT, PBE-GGA
State: optimized geometry

Total magnetization, Bohr magnetons per cell: 0.00
DOS(E_F), states/eV/atom: 0.31
Polymorph energy (0 for the lowest one), meV/atom: 63
Energy, eV per atom: -2.244
Space group: P4/mbm
Uncorrected formation energy, meV/atom: 58

```
Zn2In2Se
1.0
-4.649 -2.321 6.807
-3.461 -6.383 -4.540
2.235 -1.849 0.896
In Se Zn
4 2 4
Direct
0.698 0.198 0.000
0.302 0.802 0.000
0.802 0.698 0.000
0.198 0.302 0.000
0.500 0.500 0.000
0.000 0.000 0.000
0.896 0.396 0.500
0.104 0.604 0.500
0.396 0.104 0.500
0.604 0.896 0.500
```